Entry 1:
Material: BaY2Mo
Method: DFT, PBE
State: relaxed

The structure in POSCAR format:
```
BaY2Mo
1.0
11.060 -0.019 -0.011
10.451 3.619 -0.011
10.451 1.749 3.168
Y Mo Ba
2 1 1
direct
0.477 0.477 0.477
0.023 0.023 0.023
0.750 0.750 0.750
0.250 0.250 0.250
```

- SG: No. 166
- Spin magnetization: 0.001 μB per formula unit
- ΔH_f (0 K): 2.04 eV per formula unit
- Relative energy among the computed polymorphs: 170 meV/atom

Entry 2:
Material: TePAu2
Method: DFT, PBE
State: relaxed

The structure in POSCAR format:
```
TePAu2
1.0
-1.295 3.607 -0.545
-3.236 -0.869 1.938
2.395 1.570 4.704
Au P Te
2 1 1
direct
0.000 0.000 0.756
0.000 0.000 0.244
0.500 0.500 0.000
0.500 0.500 0.500
```

- SG: No. 123
- Spin magnetization: 0.000 μB per formula unit
- Relative energy among the computed polymorphs: 372 meV/atom

Entry 3:
Material: TbPrY5Th2
Method: DFT, PBE
State: relaxed

The structure in POSCAR format:
```
TbPrY5Th2
1.0
-2.960 7.979 2.289
-7.953 -3.422 1.645
7.557 -3.616 5.409
Y Pr Th Tb
10 2 4 2
direct
0.931 0.431 0.276
0.000 0.000 0.000
0.654 0.154 0.724
0.569 0.654 0.724
0.346 0.846 0.276
0.154 0.069 0.724
0.431 0.346 0.276
0.846 0.931 0.276
0.069 0.569 0.724
0.500 0.500 0.000
0.250 0.750 0.500
0.750 0.250 0.500
0.881 0.619 0.000
0.381 0.881 0.000
0.619 0.119 0.000
0.119 0.381 0.000
0.250 0.250 0.500
0.750 0.750 0.500
```

- SG: No. 140
- Spin magnetization: 0.000 μB per formula unit
- ΔH_f (0 K): 2.85 eV per formula unit